Mn2HSeO | PBE+U | relaxed

a b c (Å): 6.898 3.547 6.500
angles (deg): 90.00 107.35 90.00
Last column: magnetic moment on the atom in μB.
Atoms (fractional coordinates):
O (0.707, 0.500, 0.581)  0.05
O (0.707, 0.000, 0.081)  0.05
Mn (0.389, 0.000, 0.934)  4.36
Mn (0.389, 0.500, 0.434)  4.36
Mn (0.762, 0.500, 0.922)  4.52
Mn (0.762, 0.000, 0.422)  4.52
H (0.470, 0.500, 0.840)  -0.08
H (0.470, 0.000, 0.340)  -0.08
Se (0.164, 0.500, 0.040)  -0.19
Se (0.164, 0.000, 0.540)  -0.19

Calculated values
Its space group is Cm (8). Its energy above the most stable polymorph in this dataset is 47 meV/atom.